# LiNbF6 PBEsol optimized geometry
# DOS at the Fermi energy	0.00	states/eV/f.u.
# uncorrected formation energy	-3.07	eV per atom
data_LiNbF6
_chemical_formula_sum 'Li3 Nb3 F18'
_cell_length_a 5.4613
_cell_length_b 5.4613
_cell_length_c 13.6122
_cell_angle_alpha 90.00
_cell_angle_beta 90.00
_cell_angle_gamma 120.00
_space_group_name_H-M_alt 'R -3'
_space_group_IT_number 148
_space_group_name_Hall '-R 3'
loop_
_atom_site_label
_atom_site_type_symbol
_atom_site_fract_x
_atom_site_fract_y
_atom_site_fract_z
Li1 Li 0.0000 0.0000 0.0000
Nb1 Nb 0.0000 0.0000 0.5000
F1 F 0.0075 0.5601 0.2483